w | Compound: PrYPd
Source: Alexandria
Functional: PBE
Structure: optimized geometry

Cell and atoms, written as CIF:
```
data_PrYPd
_chemical_formula_sum 'Pr2 Y2 Pd2'
_symmetry_space_group_name_H-M 'P 1'
_symmetry_Int_Tables_number 1
_cell_length_a 3.6135
_cell_length_b 7.3024
_cell_length_c 6.7609
_cell_angle_alpha 106.22
_cell_angle_beta 105.54
_cell_angle_gamma 89.97
loop_
_symmetry_equiv_pos_as_xyz
'x,y,z'
loop_
_atom_site_label
_atom_site_type_symbol
_atom_site_fract_x
_atom_site_fract_y
_atom_site_fract_z
Y1 Y 0.5757 0.1190 0.9174
Y2 Y 0.3021 0.9849 0.3714
Pr1 Pr 0.3012 0.4833 0.3673
Pr2 Pr 0.5766 0.6206 0.9215
Pd1 Pd 0.9428 0.2795 0.6527
Pd2 Pd 0.9351 0.8245 0.6363
```

Output
Space group: No. 2
Total magnetization (μB/cell): 0.00



x | Compound: PrYPd
Source: Alexandria
Functional: PBE
Structure: optimized geometry

Cell and atoms, written as CIF:
```
data_PrYPd
_chemical_formula_sum 'Pr1 Y1 Pd1'
_symmetry_space_group_name_H-M 'P 1'
_symmetry_Int_Tables_number 1
_cell_length_a 4.0408
_cell_length_b 4.8244
_cell_length_c 4.8244
_cell_angle_alpha 120.00
_cell_angle_beta 90.00
_cell_angle_gamma 90.00
loop_
_symmetry_equiv_pos_as_xyz
'x,y,z'
loop_
_atom_site_label
_atom_site_type_symbol
_atom_site_fract_x
_atom_site_fract_y
_atom_site_fract_z
Pr1 Pr 0.7073 0.6667 0.3333
Pd1 Pd 0.0546 0.0000 0.0000
Y1 Y 0.2381 0.3333 0.6667
```

Output
Space group: No. 156
Total magnetization (μB/cell): 0.00



It is x that is the least stable of them.



w | Compound: PrYPd
Source: Alexandria
Functional: PBE
Structure: optimized geometry

Cell and atoms, written as CIF:
```
data_PrYPd
_chemical_formula_sum 'Pr1 Y1 Pd1'
_symmetry_space_group_name_H-M 'P 1'
_symmetry_Int_Tables_number 1
_cell_length_a 3.6179
_cell_length_b 3.6179
_cell_length_c 6.7802
_cell_angle_alpha 105.47
_cell_angle_beta 105.47
_cell_angle_gamma 90.00
loop_
_symmetry_equiv_pos_as_xyz
'x,y,z'
loop_
_atom_site_label
_atom_site_type_symbol
_atom_site_fract_x
_atom_site_fract_y
_atom_site_fract_z
Pr1 Pr 0.0237 0.0237 0.0474
Pd1 Pd 0.6777 0.6777 0.3553
Y1 Y 0.2987 0.2987 0.5973
```

Output
Space group: No. 107
Total magnetization (μB/cell): 0.00



x | Compound: PrYPd
Source: Alexandria
Functional: PBE
Structure: optimized geometry

Cell and atoms, written as CIF:
```
data_PrYPd
_chemical_formula_sum 'Pr1 Y1 Pd1'
_symmetry_space_group_name_H-M 'P 1'
_symmetry_Int_Tables_number 1
_cell_length_a 3.8332
_cell_length_b 3.8332
_cell_length_c 7.3692
_cell_angle_alpha 74.93
_cell_angle_beta 74.93
_cell_angle_gamma 60.00
loop_
_symmetry_equiv_pos_as_xyz
'x,y,z'
loop_
_atom_site_label
_atom_site_type_symbol
_atom_site_fract_x
_atom_site_fract_y
_atom_site_fract_z
Pr1 Pr 0.5319 0.5319 0.4043
Pd1 Pd 0.1030 0.1030 0.6909
Y1 Y 0.3504 0.3504 0.9487
```

Output
Space group: No. 160
Total magnetization (μB/cell): 0.01



It is x that is the least stable of them.



w | Compound: Pr2YPd
Source: Alexandria
Functional: PBE
Structure: optimized geometry

Cell and atoms, written as CIF:
```
data_Pr2YPd
_chemical_formula_sum 'Pr2 Y1 Pd1'
_symmetry_space_group_name_H-M 'P 1'
_symmetry_Int_Tables_number 1
_cell_length_a 3.7138
_cell_length_b 3.7138
_cell_length_c 11.0957
_cell_angle_alpha 80.37
_cell_angle_beta 80.37
_cell_angle_gamma 60.00
loop_
_symmetry_equiv_pos_as_xyz
'x,y,z'
loop_
_atom_site_label
_atom_site_type_symbol
_atom_site_fract_x
_atom_site_fract_y
_atom_site_fract_z
Pr1 Pr 0.8944 0.8944 0.3168
Pr2 Pr 0.1056 0.1056 0.6832
Pd1 Pd 0.5000 0.5000 0.5000
Y1 Y 0.0000 0.0000 0.0000
```

Output
Space group: No. 166
Total magnetization (μB/cell): 0.00



x | Compound: Pr2YPd
Source: Alexandria
Functional: PBE
Structure: optimized geometry

Cell and atoms, written as CIF:
```
data_Pr2YPd
_chemical_formula_sum 'Pr2 Y1 Pd1'
_symmetry_space_group_name_H-M 'P 1'
_symmetry_Int_Tables_number 1
_cell_length_a 3.7371
_cell_length_b 3.7371
_cell_length_c 8.5022
_cell_angle_alpha 90.00
_cell_angle_beta 90.00
_cell_angle_gamma 90.00
loop_
_symmetry_equiv_pos_as_xyz
'x,y,z'
loop_
_atom_site_label
_atom_site_type_symbol
_atom_site_fract_x
_atom_site_fract_y
_atom_site_fract_z
Pr1 Pr 0.0000 0.0000 0.2032
Pr2 Pr 0.0000 0.0000 0.7968
Y1 Y 0.5000 0.5000 0.5000
Pd1 Pd 0.5000 0.5000 0.0000
```

Output
Space group: No. 123
Total magnetization (μB/cell): 0.00



It is w that is the least stable of them.



w | Compound: Pr2YPd
Source: Alexandria
Functional: PBE
Structure: optimized geometry

Cell and atoms, written as CIF:
```
data_Pr2YPd
_chemical_formula_sum 'Pr2 Y1 Pd1'
_symmetry_space_group_name_H-M 'P 1'
_symmetry_Int_Tables_number 1
_cell_length_a 5.1576
_cell_length_b 3.6424
_cell_length_c 8.8353
_cell_angle_alpha 90.00
_cell_angle_beta 90.00
_cell_angle_gamma 44.91
loop_
_symmetry_equiv_pos_as_xyz
'x,y,z'
loop_
_atom_site_label
_atom_site_type_symbol
_atom_site_fract_x
_atom_site_fract_y
_atom_site_fract_z
Pr1 Pr 0.3777 0.9993 0.2271
Pr2 Pr 0.8777 0.9992 0.5340
Pd1 Pd 0.8776 0.9993 0.0117
Y1 Y 0.3777 0.9992 0.8380
```

Output
Space group: No. 35
Total magnetization (μB/cell): 0.00



x | Compound: Pr2YPd
Source: Alexandria
Functional: PBE
Structure: optimized geometry

Cell and atoms, written as CIF:
```
data_Pr2YPd
_chemical_formula_sum 'Pr2 Y1 Pd1'
_symmetry_space_group_name_H-M 'P 1'
_symmetry_Int_Tables_number 1
_cell_length_a 3.8769
_cell_length_b 3.8769
_cell_length_c 9.9486
_cell_angle_alpha 78.76
_cell_angle_beta 78.76
_cell_angle_gamma 60.00
loop_
_symmetry_equiv_pos_as_xyz
'x,y,z'
loop_
_atom_site_label
_atom_site_type_symbol
_atom_site_fract_x
_atom_site_fract_y
_atom_site_fract_z
Y1 Y 0.4997 0.4997 0.5008
Pr1 Pr 0.0663 0.0663 0.8010
Pr2 Pr 0.2670 0.2670 0.1989
Pd1 Pd 0.6669 0.6669 0.9994
```

Output
Space group: No. 160
Total magnetization (μB/cell): 0.00



It is x that is the least stable of them.



w | Compound: PrYZnPd
Source: Alexandria
Functional: PBE
Structure: optimized geometry

Cell and atoms, written as CIF:
```
data_PrYZnPd
_chemical_formula_sum 'Pr1 Y1 Zn1 Pd1'
_symmetry_space_group_name_H-M 'P 1'
_symmetry_Int_Tables_number 1
_cell_length_a 3.9285
_cell_length_b 4.5547
_cell_length_c 5.8233
_cell_angle_alpha 90.00
_cell_angle_beta 109.71
_cell_angle_gamma 90.00
loop_
_symmetry_equiv_pos_as_xyz
'x,y,z'
loop_
_atom_site_label
_atom_site_type_symbol
_atom_site_fract_x
_atom_site_fract_y
_atom_site_fract_z
Pr1 Pr 0.1430 0.0000 0.2861
Pd1 Pd 0.4256 0.0000 0.8513
Zn1 Zn 0.5713 0.5000 0.1426
Y1 Y 0.8600 0.5000 0.7200
```

Output
Space group: No. 38
Total magnetization (μB/cell): 0.00



x | Compound: PrYZnPd
Source: Alexandria
Functional: PBE
Structure: optimized geometry

Cell and atoms, written as CIF:
```
data_PrYZnPd
_chemical_formula_sum 'Pr1 Y1 Zn1 Pd1'
_symmetry_space_group_name_H-M 'P 1'
_symmetry_Int_Tables_number 1
_cell_length_a 5.1198
_cell_length_b 5.1198
_cell_length_c 5.1198
_cell_angle_alpha 60.00
_cell_angle_beta 60.00
_cell_angle_gamma 60.00
loop_
_symmetry_equiv_pos_as_xyz
'x,y,z'
loop_
_atom_site_label
_atom_site_type_symbol
_atom_site_fract_x
_atom_site_fract_y
_atom_site_fract_z
Y1 Y 0.5000 0.5000 0.5000
Zn1 Zn 0.2500 0.2500 0.2500
Pr1 Pr 0.0000 0.0000 0.0000
Pd1 Pd 0.7500 0.7500 0.7500
```

Output
Space group: No. 216
Total magnetization (μB/cell): 0.00



It is x that is the least stable of them.



w | Compound: PrZn4Pd
Source: Alexandria
Functional: PBE
Structure: optimized geometry

Cell and atoms, written as CIF:
```
data_PrZn4Pd
_chemical_formula_sum 'Pr1 Zn4 Pd1'
_symmetry_space_group_name_H-M 'P 1'
_symmetry_Int_Tables_number 1
_cell_length_a 5.3178
_cell_length_b 5.3178
_cell_length_c 5.3178
_cell_angle_alpha 60.00
_cell_angle_beta 60.00
_cell_angle_gamma 60.00
loop_
_symmetry_equiv_pos_as_xyz
'x,y,z'
loop_
_atom_site_label
_atom_site_type_symbol
_atom_site_fract_x
_atom_site_fract_y
_atom_site_fract_z
Zn1 Zn 0.6235 0.6235 0.6235
Zn2 Zn 0.1296 0.6235 0.6235
Zn3 Zn 0.6235 0.6235 0.1296
Zn4 Zn 0.6235 0.1296 0.6235
Pr1 Pr 0.0000 0.0000 0.0000
Pd1 Pd 0.2500 0.2500 0.2500
```

Output
Space group: No. 216
Total magnetization (μB/cell): 0.00



x | Compound: PrZn4Pd
Source: Alexandria
Functional: PBE
Structure: optimized geometry

Cell and atoms, written as CIF:
```
data_PrZn4Pd
_chemical_formula_sum 'Pr2 Zn8 Pd2'
_symmetry_space_group_name_H-M 'P 1'
_symmetry_Int_Tables_number 1
_cell_length_a 4.7761
_cell_length_b 6.8211
_cell_length_c 7.4291
_cell_angle_alpha 90.00
_cell_angle_beta 108.75
_cell_angle_gamma 90.00
loop_
_symmetry_equiv_pos_as_xyz
'x,y,z'
loop_
_atom_site_label
_atom_site_type_symbol
_atom_site_fract_x
_atom_site_fract_y
_atom_site_fract_z
Pd1 Pd 0.1394 0.7500 0.2788
Pd2 Pd 0.8606 0.2500 0.7212
Zn1 Zn 0.5988 0.7500 0.1977
Zn2 Zn 0.2270 0.4268 0.4541
Zn3 Zn 0.7730 0.5732 0.5459
Zn4 Zn 0.7730 0.9268 0.5459
Zn5 Zn 0.4012 0.2500 0.8023
Zn6 Zn 0.0000 0.0000 0.0000
Zn7 Zn 0.2270 0.0732 0.4541
Zn8 Zn 0.0000 0.5000 0.0000
Pr1 Pr 0.6107 0.2500 0.2213
Pr2 Pr 0.3893 0.7500 0.7787
```

Output
Space group: No. 63
Total magnetization (μB/cell): 0.00



It is x that is the least stable of them.